No. 1
{"formula": "In2Sn2Cl5", "functional": "PBE-GGA", "state": "relaxed", "lattice_angstrom": [[8.6552, 0.0000, 0.0000], [0.0000, 7.2777, 0.0000], [-4.3276, -3.6388, 8.7115]], "species": ["In", "In", "In", "In", "Sn", "Sn", "Sn", "Sn", "Cl", "Cl", "Cl", "Cl", "Cl", "Cl", "Cl", "Cl", "Cl", "Cl"], "frac_coords": [[0.1160, 0.5629, 0.1957], [0.8840, 0.3672, 0.8043], [0.5797, 0.0629, 0.1957], [0.4203, 0.8672, 0.8043], [0.0000, 0.9039, 0.0000], [0.5000, 0.4039, 0.0000], [0.2446, 0.4529, 0.5000], [0.7554, 0.9529, 0.5000], [0.2693, 0.6506, 0.9334], [0.7307, 0.7172, 0.0666], [0.1641, 0.1506, 0.9334], [0.8359, 0.2172, 0.0666], [0.2670, 0.0836, 0.3016], [0.7330, 0.7819, 0.6984], [0.5346, 0.5836, 0.3016], [0.4654, 0.2819, 0.6984], [0.0215, 0.8156, 0.5000], [0.9785, 0.3156, 0.5000]], "dft_energy_ev_per_cell": -58.94, "raw_formation_energy_ev_per_fu": -6.75}

***

No. 2
{"formula": "Li2CuTcH6", "functional": "PBE-GGA", "state": "relaxed", "lattice_angstrom": [[-0.2920, 1.9906, -4.7715], [-3.1973, -3.5682, 2.6594], [-1.2770, 1.4389, 4.8103]], "species": ["Li", "Li", "Cu", "Tc", "H", "H", "H", "H", "H", "H"], "frac_coords": [[0.5322, 0.7494, 0.2964], [0.5568, 0.2657, 0.7885], [0.0503, 0.5262, 0.5551], [0.0499, 0.0123, 0.0411], [0.4423, 0.9313, 0.5698], [0.5679, 0.1816, 0.1940], [0.6549, 0.6519, 0.0729], [0.0972, 0.2543, 0.2369], [0.9492, 0.7253, 0.8556], [0.0648, 0.1797, 0.6922]], "dft_energy_ev_per_cell": -39.42}

***

No. 3
{"formula": "Cs5Cu2I12", "functional": "PBE-GGA", "state": "relaxed", "lattice_angstrom": [[-6.1833, -7.8028, -1.9211], [5.0477, -2.0508, -7.9172], [5.8648, -0.8435, 11.3071]], "species": ["Cs", "Cs", "Cs", "Cs", "Cs", "Cu", "Cu", "I", "I", "I", "I", "I", "I", "I", "I", "I", "I", "I", "I"], "frac_coords": [[0.7423, 0.5140, 0.4846], [0.6693, 0.9448, 0.3386], [0.0000, 0.5000, 0.0000], [0.3307, 0.0552, 0.6614], [0.2577, 0.4860, 0.5154], [0.3611, 0.0000, 0.0000], [0.6389, 0.0000, 0.0000], [0.1471, 0.9371, 0.2942], [0.8851, 0.1311, 0.2183], [0.3332, 0.1311, 0.2183], [0.9531, 0.6743, 0.3366], [0.3836, 0.6743, 0.3366], [0.5292, 0.2578, 0.0585], [0.4708, 0.7422, 0.9415], [0.0469, 0.3257, 0.6634], [0.6164, 0.3257, 0.6634], [0.1149, 0.8689, 0.7817], [0.6668, 0.8689, 0.7817], [0.8529, 0.0629, 0.7058]], "dft_energy_ev_per_cell": -45.52, "raw_formation_energy_ev_per_fu": -14.46}

***

The records above give, respectively, DOS at the Fermi energy values of 0.271 0.021 0.652 states/eV per atom.